! BaP2Ru GGA-PBE optimized geometry; values from VASP
! ρ   4.5 g/cm³
! Energy relative to the elements   -1.93 eV per formula unit
! Energy   -5.987 eV per atom
! Space group   No. 122
! Excess energy over the best structure of this formula in the dataset   0.167 eV per atom
! Total magnetization   0.000 μB/atom
&SYSTEM
  ibrav = 0, nat = 8, ntyp = 3
/
ATOMIC_SPECIES
Ba 137.33 Ba.upf
P 30.97 P.upf
Ru 101.07 Ru.upf
ATOMIC_POSITIONS crystal
Ba 0.0000 0.0000 0.0000
Ba 0.7500 0.2500 0.5000
P 0.2571 0.6250 0.1321
P 0.3750 0.5071 0.6321
P 0.4929 0.1250 0.8679
P 0.8750 0.7429 0.3679
Ru 0.2500 0.7500 0.5000
Ru 0.5000 0.5000 0.0000
CELL_PARAMETERS angstrom
-3.0734 3.0734 5.8371
3.0734 -3.0734 5.8371
3.0734 3.0734 -5.8371

! Sr2Mn2Cu15 GGA-PBE optimized geometry; values from VASP
! ρ   7.3 g/cm³
! Energy relative to the elements   0.35 eV per formula unit
! Energy   -4.358 eV per atom
! Space group   No. 166
! Total magnetization   0.420 μB/atom
&SYSTEM
  ibrav = 0, nat = 19, ntyp = 3
/
ATOMIC_SPECIES
Sr 87.62 Sr.upf
Mn 54.94 Mn.upf
Cu 63.55 Cu.upf
ATOMIC_POSITIONS crystal
Sr 0.1539 0.1539 0.1539
Sr 0.8461 0.8461 0.8461
Mn 0.4029 0.4029 0.4029
Mn 0.5971 0.5971 0.5971
Cu 0.0000 0.5000 0.5000
Cu 0.1599 0.1599 0.6498
Cu 0.1599 0.6498 0.1599
Cu 0.2125 0.5000 0.7875
Cu 0.2125 0.7875 0.5000
Cu 0.3502 0.8401 0.8401
Cu 0.5000 0.0000 0.5000
Cu 0.5000 0.2125 0.7875
Cu 0.5000 0.5000 0.0000
Cu 0.5000 0.7875 0.2125
Cu 0.6498 0.1599 0.1599
Cu 0.7875 0.2125 0.5000
Cu 0.7875 0.5000 0.2125
Cu 0.8401 0.3502 0.8401
Cu 0.8401 0.8401 0.3502
CELL_PARAMETERS angstrom
4.3736 2.5251 4.2711
-4.3736 2.5251 4.2711
0.0000 -5.0502 4.2711

! YTh4Sc2 GGA-PBE optimized geometry; values from VASP
! ρ   8.2 g/cm³
! Energy relative to the elements   2.16 eV per formula unit
! Energy   -6.664 eV per atom
! Space group   No. 136
! Total magnetization   0.000 μB/atom
&SYSTEM
  ibrav = 0, nat = 14, ntyp = 3
/
ATOMIC_SPECIES
Y 88.91 Y.upf
Th 232.04 Th.upf
Sc 44.96 Sc.upf
ATOMIC_POSITIONS crystal
Y 0.0000 0.0000 0.0000
Y 0.5000 0.5000 0.5000
Th 0.1151 0.3613 0.5000
Th 0.1387 0.6151 0.0000
Th 0.3613 0.1151 0.5000
Th 0.3849 0.8613 0.0000
Th 0.6151 0.1387 0.0000
Th 0.6387 0.8849 0.5000
Th 0.8613 0.3849 0.0000
Th 0.8849 0.6387 0.5000
Sc 0.1939 0.8061 0.5000
Sc 0.3061 0.3061 0.0000
Sc 0.6939 0.6939 0.0000
Sc 0.8061 0.1939 0.5000
CELL_PARAMETERS angstrom
9.2438 0.0000 0.0000
0.0000 9.2438 0.0000
0.0000 0.0000 5.2505

! NaThSb2Pd2 GGA-PBE optimized geometry; values from VASP
! ρ   8.0 g/cm³
! Energy   -5.272 eV per atom
! Formation energy from raw total energies   -710.0 meV per atom
! Space group   No. 164
! Total magnetization   0.000 μB/atom
&SYSTEM
  ibrav = 0, nat = 6, ntyp = 4
/
ATOMIC_SPECIES
Na 22.99 Na.upf
Th 232.04 Th.upf
Sb 121.76 Sb.upf
Pd 106.42 Pd.upf
ATOMIC_POSITIONS crystal
Na 0.0000 0.0000 0.0000
Th 0.0000 0.0000 0.5000
Sb 0.3333 0.6667 0.7458
Sb 0.6667 0.3333 0.2542
Pd 0.3333 0.6667 0.2613
Pd 0.6667 0.3333 0.7387
CELL_PARAMETERS angstrom
4.5680 0.0000 0.0000
-2.2840 3.9560 0.0000
0.0000 0.0000 8.1927

! NdMgP2O8 GGA-PBE optimized geometry; values from VASP
! ρ   3.8 g/cm³
! Energy   -7.273 eV per atom
! Formation energy from raw total energies   -2536.0 meV per atom
! Space group   No. 164
! Total magnetization   0.075 μB/atom
&SYSTEM
  ibrav = 0, nat = 12, ntyp = 4
/
ATOMIC_SPECIES
Nd 144.24 Nd.upf
Mg 24.30 Mg.upf
P 30.97 P.upf
O 16.00 O.upf
ATOMIC_POSITIONS crystal
Nd 0.0000 0.0000 0.0000
Mg 0.0000 0.0000 0.5000
P 0.3333 0.6667 0.7748
P 0.6667 0.3333 0.2252
O 0.1695 0.3390 0.7036
O 0.1695 0.8305 0.7036
O 0.3333 0.6667 0.0015
O 0.3390 0.1695 0.2964
O 0.6610 0.8305 0.7036
O 0.6667 0.3333 0.9985
O 0.8305 0.1695 0.2964
O 0.8305 0.6610 0.2964
CELL_PARAMETERS angstrom
5.1538 0.0000 0.0000
-2.5769 4.4634 0.0000
0.0000 0.0000 6.8393

! SrHoP2Pd4 GGA-PBE optimized geometry; values from VASP
! ρ   7.5 g/cm³
! Energy relative to the elements   -6.07 eV per formula unit
! Energy   -5.490 eV per atom
! Space group   No. 123
! Total magnetization   0.000 μB/atom
&SYSTEM
  ibrav = 0, nat = 8, ntyp = 4
/
ATOMIC_SPECIES
Sr 87.62 Sr.upf
Ho 164.93 Ho.upf
P 30.97 P.upf
Pd 106.42 Pd.upf
ATOMIC_POSITIONS crystal
Sr 0.0000 0.0000 0.0000
Ho 0.0000 0.0000 0.5000
P 0.5000 0.5000 0.1683
P 0.5000 0.5000 0.8317
Pd 0.0000 0.5000 0.2893
Pd 0.0000 0.5000 0.7107
Pd 0.5000 0.0000 0.2893
Pd 0.5000 0.0000 0.7107
CELL_PARAMETERS angstrom
4.0975 0.0000 0.0000
0.0000 4.0975 0.0000
0.0000 0.0000 9.8085